No. 1
VASP calculation (PBE) on a geometry-optimized Ta2TePt structure.

a = 9.642 Å, b = 3.433 Å, c = 4.637 Å
α = 90.00°, β = 102.01°, γ = 90.00°
Space group C2/m (No. 12)
One atom of each set of equivalent atoms:
Ta  0.245  0.000  0.231 [4 per cell]
Te  0.000  0.000  0.500 [2 per cell]
Pt  0.000  0.500  0.000 [2 per cell]

Results
ΔE_f (raw) = 24.1 meV/atom
Calculated volume = 18.764 A^3/atom
Raw total energy = -8.20 eV per atom


No. 2
VASP calculation (PBE) on a geometry-optimized Y8NiSn2 structure.

a = 19.042 Å, b = 4.919 Å, c = 6.788 Å
α = 90.00°, β = 102.66°, γ = 90.00°
Space group C2/m (No. 12)
One atom of each set of equivalent atoms:
Y  0.015  0.000  0.282 [4 per cell]
Y  0.092  0.500  0.977 [4 per cell]
Y  0.144  0.500  0.506 [4 per cell]
Y  0.217  0.000  0.822 [4 per cell]
Ni  0.000  0.500  0.500 [2 per cell]
Sn  0.182  0.000  0.263 [4 per cell]

Results
DFT formation energy = -0.361 eV/atom
Calculated volume = 28.194 A^3/atom
Raw total energy = -6.32 eV per atom


No. 3
VASP calculation (PBE) on a geometry-optimized La6Pr16Sm7 structure.

a = 16.256 Å, b = 16.256 Å, c = 16.256 Å
α = 90.00°, β = 90.00°, γ = 90.00°
Space group Fm-3m (No. 225)
One atom of each set of equivalent atoms:
La  0.000  0.000  0.214 [24 per cell]
Pr  0.124  0.124  0.376 [32 per cell]
Pr  0.154  0.154  0.154 [32 per cell]
Sm  0.000  0.000  0.500 [4 per cell]
Sm  0.000  0.250  0.250 [24 per cell]

Results
DFT formation energy = 0.185 eV/atom
Calculated volume = 37.030 A^3/atom
Raw total energy = -4.61 eV per atom


No. 4
VASP calculation (PBE) on a geometry-optimized Be2Ni8Ge structure.

a = 6.339 Å, b = 9.777 Å, c = 4.078 Å
α = 90.00°, β = 110.29°, γ = 90.00°
Space group C2/m (No. 12)
One atom of each set of equivalent atoms:
Be  0.000  0.190  0.000 [4 per cell]
Ni  0.000  0.263  0.500 [4 per cell]
Ni  0.107  0.000  0.312 [4 per cell]
Ni  0.207  0.378  0.098 [8 per cell]
Ge  0.000  0.500  0.500 [2 per cell]

Results
DFT formation energy = -0.123 eV/atom
Calculated volume = 10.774 A^3/atom
Raw total energy = -5.43 eV per atom


No. 5
VASP calculation (PBE) on a geometry-optimized Li2AgAu structure.

a = 2.946 Å, b = 3.545 Å, c = 6.026 Å
α = 90.00°, β = 90.45°, γ = 90.00°
Space group P2/m (No. 10)
One atom of each set of equivalent atoms:
Li  0.001  0.000  0.240 [2 per cell]
Ag  0.500  0.500  0.500 [1 per cell]
Au  0.500  0.500  0.000 [1 per cell]

Results
DFT formation energy = -0.384 eV/atom
Calculated volume = 15.731 A^3/atom
Raw total energy = -2.87 eV per atom
Distance to the lowest polymorph of the same formula = 0.0102 eV per atom


No. 6
VASP calculation (PBE) on a geometry-optimized YZn11Co structure.

a = 5.065 Å, b = 12.585 Å, c = 6.748 Å
α = 90.00°, β = 111.97°, γ = 90.00°
Space group C2/m (No. 12)
One atom of each set of equivalent atoms:
Y  0.000  0.000  0.000 [2 per cell]
Zn  0.000  0.500  0.500 [2 per cell]
Zn  0.117  0.393  0.220 [8 per cell]
Zn  0.160  0.171  0.359 [8 per cell]
Zn  0.250  0.250  0.000 [4 per cell]
Co  0.000  0.000  0.500 [2 per cell]

Results
DFT formation energy = -0.176 eV/atom
Calculated volume = 15.342 A^3/atom
Raw total energy = -2.30 eV per atom


No. 7
VASP calculation (PBE) on a geometry-optimized AcIn2Cu2 structure.

a = 11.082 Å, b = 4.335 Å, c = 5.055 Å
α = 90.00°, β = 106.34°, γ = 90.00°
Space group C2/m (No. 12)
One atom of each set of equivalent atoms:
Ac  0.000  0.000  0.000 [2 per cell]
In  0.149  0.500  0.572 [4 per cell]
Cu  0.232  0.500  0.126 [4 per cell]

Results
DFT formation energy = -0.292 eV/atom
Calculated volume = 23.307 A^3/atom
Raw total energy = -3.85 eV per atom
Distance to the lowest polymorph of the same formula = 0.0000 eV per atom


No. 8
VASP calculation (PBE) on a geometry-optimized NaTmPb2 structure.

a = 3.842 Å, b = 3.842 Å, c = 7.789 Å
α = 90.00°, β = 90.00°, γ = 90.00°
Space group P4/mmm (No. 123)
One atom of each set of equivalent atoms:
Na  0.000  0.000  0.000 [1 per cell]
Tm  0.000  0.000  0.500 [1 per cell]
Pb  0.500  0.500  0.260 [2 per cell]

Results
DFT formation energy = -0.259 eV/atom
Calculated volume = 28.751 A^3/atom
Raw total energy = -3.56 eV per atom


No. 9
VASP calculation (PBE) on a geometry-optimized HfReCl2 structure.

a = 5.660 Å, b = 5.660 Å, c = 10.261 Å
α = 90.00°, β = 90.00°, γ = 90.00°
Space group I-42d (No. 122)
One atom of each set of equivalent atoms:
Hf  0.000  0.000  0.000 [4 per cell]
Re  0.000  0.000  0.500 [4 per cell]
Cl  0.226  0.250  0.625 [8 per cell]

Results
ΔE_f (raw) = 859.4 meV/atom
Calculated volume = 20.545 A^3/atom
Raw total energy = -5.66 eV per atom
Distance to the lowest polymorph of the same formula = 0.8767 eV per atom


No. 10
VASP calculation (PBE) on a geometry-optimized LiZr structure.

a = 10.4847 Å, b = 10.4847 Å, c = 2.9064 Å
α = 90.00°, β = 90.00°, γ = 120.00°
Space group P6_3/m (No. 176)
One atom of each set of equivalent atoms:
Li  0.0585  0.2824  0.2500 [6 per cell]
Zr  0.1432  0.5948  0.2500 [6 per cell]

Results
DFT formation energy = 0.332 eV/atom
Calculated volume = 23.058 A^3/atom
Raw total energy = -4.90 eV per atom
Distance to the lowest polymorph of the same formula = 0.2480 eV per atom


No. 11
VASP calculation (PBE) on a geometry-optimized Li2Ce2YGe2 structure.

a = 4.3885 Å, b = 4.3885 Å, c = 26.3369 Å
α = 90.00°, β = 90.00°, γ = 120.00°
Space group R-3m (No. 166, hexagonal axes)
One atom of each set of equivalent atoms:
Li  0.0000  0.0000  0.0948 [6 per cell]
Ce  0.0000  0.0000  0.3588 [6 per cell]
Y  0.0000  0.0000  0.5000 [3 per cell]
Ge  0.0000  0.0000  0.2342 [6 per cell]

Results
DFT formation energy = -0.485 eV/atom
Calculated volume = 20.918 A^3/atom
Raw total energy = -4.97 eV per atom


No. 12
VASP calculation (PBE) on a geometry-optimized Lu3Ge13Ru4 structure.

a = 8.987 Å, b = 8.987 Å, c = 8.987 Å
α = 90.00°, β = 90.00°, γ = 90.00°
Space group Pm-3n (No. 223)
One atom of each set of equivalent atoms:
Lu  0.000  0.250  0.500 [6 per cell]
Ge  0.000  0.000  0.000 [2 per cell]
Ge  0.000  0.304  0.147 [24 per cell]
Ru  0.250  0.250  0.250 [8 per cell]

Results
DFT formation energy = -0.418 eV/atom
Calculated volume = 18.149 A^3/atom
Raw total energy = -5.95 eV per atom


Magnetic moment values (in μB/f.u.) by entry order: 0.00; 0.00; 0.01; 0.00; 0.00; 0.00; 0.00; 0.00; 0.00; 0.00; 2.11; 0.00.